1.
Entry from OQMD: a relaxed NpCo crystal (GGA-PBE).

Cell lengths 2.7879, 2.7879, 4.6583 Å; angles 90.00, 90.00, 120.00 degrees
Atoms (fractional coordinates):
Co 0.6667 0.3333 0.7500
Np 0.3333 0.6667 0.2500

Summary:
**Symmetry**: P-6m2, No. 187

***

2.
Entry from OQMD: a relaxed NpCo crystal (GGA-PBE).

Cell lengths 4.3644, 4.3644, 5.3203 Å; angles 90.00, 90.00, 120.00 degrees
Atoms (fractional coordinates):
Co 0.3333 0.6667 0.4375
Co 0.0000 0.0000 0.9376
Np 0.0000 0.0000 0.4374
Np 0.3333 0.6667 0.9374

Summary:
**Symmetry**: P6_3/mmc, No. 194

***

3.
Entry from OQMD: a relaxed NpCo crystal (GGA-PBE).

Cell lengths 3.6532, 3.6532, 3.6532 Å; angles 60.00, 60.00, 60.00 degrees
Atoms (fractional coordinates):
Co 0.0000 0.0000 0.0000
Np 0.5000 0.5000 0.5000

Summary:
**Symmetry**: Fm-3m, No. 225

***

Number 1: DFT formation energy 0.68 eV per formula unit. Number 2: DFT formation energy 1.30 eV per formula unit. Number 3: DFT formation energy 0.67 eV per formula unit.